Below is a relaxed structure of ReHg2Pt, with properties calculated at the PBEsol level.

CIF file:
```
data_ReHg2Pt
_space_group_name_H-M_alt 'P 1'
_space_group_IT_number 1
_cell_length_a 2.7671
_cell_length_b 5.1123
_cell_length_c 5.1123
_cell_angle_alpha 109.46
_cell_angle_beta 90.00
_cell_angle_gamma 90.00
loop_
_space_group_symop_operation_xyz
'x,y,z'
loop_
_atom_site_label
_atom_site_type_symbol
_atom_site_fract_x
_atom_site_fract_y
_atom_site_fract_z
Hg1 Hg 0.0000 0.5000 0.0000
Hg2 Hg 0.0000 0.0000 0.5000
Pt1 Pt 0.5000 0.0000 0.0000
Re1 Re 0.5000 0.5000 0.5000
```

## Properties
For the energy relative to the elements, the calculation gives 2.306 eV per formula unit. As for the total energy: -4.78 eV per atom. The value obtained for the calculated density is 19.05 g/cm3. Its size of the total moment is 0.0000 μB/atom. Its space group is Cmmm.

Below is a relaxed structure of ReHgPt2, with properties calculated at the PBEsol level.

CIF file:
```
data_ReHgPt2
_space_group_name_H-M_alt 'P 1'
_space_group_IT_number 1
_cell_length_a 2.7721
_cell_length_b 4.9264
_cell_length_c 4.9264
_cell_angle_alpha 110.53
_cell_angle_beta 90.00
_cell_angle_gamma 90.00
loop_
_space_group_symop_operation_xyz
'x,y,z'
loop_
_atom_site_label
_atom_site_type_symbol
_atom_site_fract_x
_atom_site_fract_y
_atom_site_fract_z
Pt1 Pt 0.0000 0.5000 0.0000
Pt2 Pt 0.0000 0.0000 0.5000
Hg1 Hg 0.5000 0.5000 0.5000
Re1 Re 0.5000 0.0000 0.0000
```

## Properties
For the energy relative to the elements, the calculation gives 0.941 eV per formula unit. As for the total energy: -6.72 eV per atom. The value obtained for the calculated density is 20.48 g/cm3. Its size of the total moment is 0.0001 μB/atom. Its space group is Cmmm.

Below is a relaxed structure of ReHg2Pt, with properties calculated at the PBEsol level.

CIF file:
```
data_ReHg2Pt
_space_group_name_H-M_alt 'P 1'
_space_group_IT_number 1
_cell_length_a 4.6214
_cell_length_b 4.6214
_cell_length_c 4.6214
_cell_angle_alpha 60.00
_cell_angle_beta 60.00
_cell_angle_gamma 60.00
loop_
_space_group_symop_operation_xyz
'x,y,z'
loop_
_atom_site_label
_atom_site_type_symbol
_atom_site_fract_x
_atom_site_fract_y
_atom_site_fract_z
Pt1 Pt 0.5000 0.5000 0.5000
Re1 Re 0.2500 0.2500 0.2500
Hg1 Hg 0.7500 0.7500 0.7500
Hg2 Hg 0.0000 0.0000 0.0000
```

## Properties
For the energy relative to the elements, the calculation gives 2.995 eV per formula unit. As for the total energy: -4.61 eV per atom. The value obtained for the calculated density is 18.62 g/cm3. Its size of the total moment is 0.5660 μB/atom. Its space group is F-43m.

Below is a relaxed structure of ReHgPt2, with properties calculated at the PBEsol level.

CIF file:
```
data_ReHgPt2
_space_group_name_H-M_alt 'P 1'
_space_group_IT_number 1
_cell_length_a 2.7409
_cell_length_b 4.8575
_cell_length_c 4.8575
_cell_angle_alpha 90.00
_cell_angle_beta 90.00
_cell_angle_gamma 90.00
loop_
_space_group_symop_operation_xyz
'x,y,z'
loop_
_atom_site_label
_atom_site_type_symbol
_atom_site_fract_x
_atom_site_fract_y
_atom_site_fract_z
Re1 Re 0.5000 0.5000 0.5000
Hg1 Hg 0.5000 0.0000 0.0000
Pt1 Pt 0.0000 0.0000 0.5000
Pt2 Pt 0.0000 0.5000 0.0000
```

## Properties
For the energy relative to the elements, the calculation gives 1.191 eV per formula unit. As for the total energy: -6.66 eV per atom. The value obtained for the calculated density is 19.95 g/cm3. Its size of the total moment is 0.2205 μB/atom. Its space group is P4/mmm.

Question: Which of these has the highest energy relative to the elements?
Answer: number 3

Question: Which value of energy relative to the elements does entry 2 give?
Answer: 0.941 eV per formula unit

Question: Which of these has the highest energy relative to the elements?
Answer: number 3

Question: Number 2 is which compound?
Answer: ReHgPt2